No. 1
! SrGaSb3 | Alexandria via LeMat-Bulk | PBE | relaxed; values from VASP
&SYSTEM
  ibrav = 0, nat = 5, ntyp = 3
/
ATOMIC_SPECIES
Sb 121.76 Sb.upf
Ga 69.72 Ga.upf
Sr 87.62 Sr.upf
CELL_PARAMETERS angstrom
6.0213 0.0000 0.0000
0.0000 6.0213 0.0000
0.0000 0.0000 6.0213
ATOMIC_POSITIONS angstrom
Sb 0.0000 3.0107 0.0000
Sb 3.0107 0.0000 0.0000
Sb 0.0000 0.0000 3.0107
Ga 3.0107 3.0107 3.0107
Sr 0.0000 0.0000 0.0000
! Crystal system ... cubic
! E above lowest polymorph ... 0.7512 eV per atom
! Total DFT energy (no corrections) ... -2.69 eV per atom



No. 2
! SrGa3Sb3 | Alexandria via LeMat-Bulk | PBE | relaxed; values from VASP
&SYSTEM
  ibrav = 0, nat = 14, ntyp = 3
/
ATOMIC_SPECIES
Sb 121.76 Sb.upf
Ga 69.72 Ga.upf
Sr 87.62 Sr.upf
CELL_PARAMETERS angstrom
-4.3862 6.1948 1.1288
-6.2897 -4.3755 -0.4271
0.2989 -1.1693 7.5783
ATOMIC_POSITIONS angstrom
Sb -2.1184 2.8050 2.4590
Sb -6.4345 2.4583 0.6331
Sb -1.4230 -1.6786 3.6824
Sb -1.9689 2.2204 6.2482
Sb -4.2414 -0.6391 0.0687
Sb -4.5678 -3.8663 3.4689
Ga -3.1402 4.0614 4.6358
Ga -0.9471 0.9640 4.0714
Ga -3.7655 2.0035 0.4577
Ga -2.9207 -3.0648 5.4702
Ga -6.9103 -0.1843 0.2441
Ga -3.0701 -2.4801 1.6810
Sr -5.1885 0.3249 4.1400
Sr 0.0000 0.0000 0.0000
! Crystal system ... cubic
! Total DFT energy (no corrections) ... -3.42 eV per atom



No. 3
! SrGa3Sb | Alexandria via LeMat-Bulk | PBE | relaxed; values from VASP
&SYSTEM
  ibrav = 0, nat = 5, ntyp = 3
/
ATOMIC_SPECIES
Ga 69.72 Ga.upf
Sr 87.62 Sr.upf
Sb 121.76 Sb.upf
CELL_PARAMETERS angstrom
5.7273 0.0000 0.0000
0.0000 5.7273 0.0000
0.0000 0.0000 5.7273
ATOMIC_POSITIONS angstrom
Ga 2.8637 0.0000 0.0000
Ga 0.0000 0.0000 2.8637
Ga 0.0000 2.8637 0.0000
Sr 0.0000 0.0000 0.0000
Sb 2.8637 2.8637 2.8637
! Crystal system ... cubic
! Total DFT energy (no corrections) ... -2.12 eV per atom



Going through the records in order, we get E_form (uncorrected) values of 723; -112; 854 meV/atom.